#one
Material: P3Os
Method: DFT, PBE-GGA
State: optimized geometry Values from VASP.

Summary:
Symmetry: No. 44

Structure (Quantum ESPRESSO input):
```
&SYSTEM
  ibrav = 0, nat = 4, ntyp = 2
/
ATOMIC_SPECIES
P 30.97 P.upf
Os 190.23 Os.upf
ATOMIC_POSITIONS angstrom
P 2.078 -1.232 -0.084
P 0.883 -0.689 2.143
P -1.416 0.964 3.213
Os 3.083 2.386 1.073
CELL_PARAMETERS angstrom
-0.788 3.555 2.917
-2.564 -2.032 3.327
4.252 -0.875 -1.712
```

---

#two
Material: P3Os
Method: DFT, PBE-GGA
State: optimized geometry Values from VASP.

Summary:
Symmetry: No. 225

Structure (Quantum ESPRESSO input):
```
&SYSTEM
  ibrav = 0, nat = 4, ntyp = 2
/
ATOMIC_SPECIES
P 30.97 P.upf
Os 190.23 Os.upf
ATOMIC_POSITIONS angstrom
P -0.193 0.146 -2.590
P -0.386 0.291 -5.180
P -0.579 0.437 -7.770
Os 0.000 0.000 0.000
CELL_PARAMETERS angstrom
-1.203 2.448 -3.256
2.169 -0.105 -3.651
-1.738 -1.761 -3.453
```

---

#three
Material: P3Os
Method: DFT, PBE-GGA
State: optimized geometry Values from VASP.

Summary:
Symmetry: No. 221

Structure (Quantum ESPRESSO input):
```
&SYSTEM
  ibrav = 0, nat = 4, ntyp = 2
/
ATOMIC_SPECIES
P 30.97 P.upf
Os 190.23 Os.upf
ATOMIC_POSITIONS angstrom
P 1.914 0.000 1.914
P 1.914 1.914 0.000
P 0.000 1.914 1.914
Os 0.000 0.000 0.000
CELL_PARAMETERS angstrom
3.828 0.000 0.000
0.000 3.828 0.000
0.000 0.000 3.828
```

---

Which structure is most stable, and how do the rest compare? From most to least stable: #one, #two, #three.